CuHgPd2: relaxed, GGA-PBE.

Cell lengths 3.083, 3.083, 6.707 Å; angles 90.00, 90.00, 90.00 degrees
Space group P4/mmm (No. 123)
Symmetry-distinct sites (fractional):
Cu1 0.000 0.000 0.000 x1
Hg1 0.000 0.000 0.500 x1
Pd1 0.500 0.500 0.219 x2

Results
Calculated formation energy, meV/atom: -144.4